This record from the Alexandria database describes Cs2IrCl5O at its PBEsol-relaxed geometry. The functional is meta-GGA SCAN.

Summary:
Energy relative to the elements, uncorrected   -1.3466 eV/atom

Cell and atoms, written as CIF:
```
data_Cs2IrCl5O
_chemical_formula_sum 'Cs8 Ir4 Cl20 O4'
_cell_length_a 7.0421
_cell_length_b 16.3683
_cell_length_c 8.6132
_cell_angle_alpha 90.00
_cell_angle_beta 90.00
_cell_angle_gamma 90.00
_symmetry_space_group_name_H-M 'C m c m'
_symmetry_Int_Tables_number 63
_symmetry_space_group_name_Hall '-C 2c 2'
loop_
_atom_site_label
_atom_site_fract_x
_atom_site_fract_y
_atom_site_fract_z
Cs1 0.0000 0.0294 0.2500
Cs2 0.0000 0.2753 0.7500
Ir1 0.0000 0.3870 0.2500
Cl1 0.0000 0.2415 0.2500
Cl2 0.2359 0.3809 0.0585
O1 0.0000 0.4969 0.2500
```

---

This record from the Alexandria database describes ZrH6O2F6 at its PBEsol-relaxed geometry. The functional is meta-GGA SCAN.

Summary:
DFT total energy   -7.917 eV per atom

Cell and atoms, written as CIF:
```
data_ZrH6O2F6
_chemical_formula_sum 'Zr4 H24 O8 F24'
_cell_length_a 7.1536
_cell_length_b 12.5859
_cell_length_c 6.6868
_cell_angle_alpha 90.00
_cell_angle_beta 112.32
_cell_angle_gamma 90.00
_symmetry_space_group_name_H-M 'C 1 2/c 1'
_symmetry_Int_Tables_number 15
loop_
_symmetry_equiv_pos_as_xyz
'x,y,z'
'-x,-y,-z'
'-x,y,-z+1/2'
'x,-y,z+1/2'
'x+1/2,y+1/2,z'
'-x+1/2,-y+1/2,-z'
'-x+1/2,y+1/2,-z+1/2'
'x+1/2,-y+1/2,z+1/2'
loop_
_atom_site_label
_atom_site_fract_x
_atom_site_fract_y
_atom_site_fract_z
Zr1 0.0000 0.0471 0.2500
H1 0.0908 0.3199 0.5739
H2 0.1138 0.2665 0.1251
H3 0.1192 0.3968 0.0513
O1 0.0631 0.3210 0.0028
F1 0.0190 0.0901 0.5600
F2 0.1862 0.1860 0.3011
F3 0.2081 0.4982 0.1122
```

---

This record from the Alexandria database describes YSiTe2 at its PBEsol-relaxed geometry. The functional is meta-GGA SCAN.

Summary:
Energy relative to the elements, uncorrected   -0.7544 eV/atom

Cell and atoms, written as CIF:
```
data_YSiTe2
_chemical_formula_sum 'Y2 Si2 Te4'
_cell_length_a 4.1893
_cell_length_b 4.2446
_cell_length_c 11.1822
_cell_angle_alpha 90.00
_cell_angle_beta 90.00
_cell_angle_gamma 90.00
_symmetry_space_group_name_H-M 'A m m 2'
_symmetry_Int_Tables_number 38
loop_
_symmetry_equiv_pos_as_xyz
'x,y,z'
'-x,-y,z'
'-x,y,z'
'x,-y,z'
'x,y+1/2,z+1/2'
'-x,-y+1/2,z+1/2'
'-x,y+1/2,z+1/2'
'x,-y+1/2,z+1/2'
loop_
_atom_site_label
_atom_site_fract_x
_atom_site_fract_y
_atom_site_fract_z
Y1 0.0000 0.0000 0.0000
Si1 0.5000 0.0000 0.8205
Te1 0.0000 0.0000 0.3002
Te2 0.5000 0.0000 0.5887
```

---

Number 1: size of the total moment 7.9 μB per cell. Number 2: size of the total moment 0.0 μB per cell. Number 3: size of the total moment 0.0 μB per cell.